1.
## BaNi3N (GGA-PBE)

Data for a relaxed structure of BaNi3N.

Cell lengths 4.9981, 4.9981, 4.9981 Å; angles 90.00, 90.00, 90.00 degrees
Last column: nearest neighbours and their distance in Å.
Space group Pm-3m (No. 221)
Asymmetric unit:
Ba1 0.0000 0.0000 0.0000 [1 per cell]  6 Ni 2.50
Ni1 0.0000 0.0000 0.5000 [3 per cell]  2 Ba 2.50
N1 0.5000 0.5000 0.5000 [1 per cell]  12 Ni 3.53

Output
ΔE_f (raw) in meV per atom: 2783
Calculated volume in A^3/atom: 24.972
Spin magnetization in Bohr magnetons per cell: 2.8
Energy above the most stable polymorph in this dataset in eV/atom: 2.4414

2.
## Ac2S3 (GGA-PBE)

Data for a relaxed structure of Ac2S3.

Cell lengths 3.9624, 15.2346, 9.1490 Å; angles 90.00, 90.00, 90.00 degrees
Last column: nearest neighbours and their distance in Å.
Space group Cmcm (No. 63)
Asymmetric unit:
Ac1 0.0000 0.0000 0.0000 [4 per cell]  8 S 3.11-3.16
Ac2 0.0000 0.2533 0.2500 [4 per cell]  7 S 3.02-3.13
S1 0.0000 0.3421 0.5584 [8 per cell]  5 Ac 3.02-3.16, 1 S 3.30
S2 0.0000 0.4543 0.2500 [4 per cell]  5 Ac 3.06-3.11, 2 S 3.30

Output
ΔE_f (raw) in meV per atom: -2021
Calculated volume in A^3/atom: 27.614
Spin magnetization in Bohr magnetons per cell: 0.0
Energy above the most stable polymorph in this dataset in eV/atom: 0.1569

3.
## NaLi2CuGe (GGA-PBE)

Data for a relaxed structure of NaLi2CuGe.

Cell lengths 4.9118, 4.9118, 4.5738 Å; angles 90.00, 90.00, 90.00 degrees
Last column: nearest neighbours and their distance in Å.
Space group P4/mmm (No. 123)
Asymmetric unit:
Na1 0.0000 0.0000 0.0000 [1 per cell]  8 Li 3.36, 4 Cu 3.47
Li1 0.0000 0.5000 0.5000 [2 per cell]  2 Ge 2.46
Cu1 0.5000 0.5000 0.0000 [1 per cell]  2 Ge 2.29
Ge1 0.5000 0.5000 0.5000 [1 per cell]  2 Cu 2.29, 4 Li 2.46

Output
Calculated volume in A^3/atom: 22.070
Spin magnetization in Bohr magnetons per cell: 0.0
Energy above the most stable polymorph in this dataset in eV/atom: 0.0071
ΔH_f (0 K) in eV/atom: -0.03

4.
## ZnRu2Au (GGA-PBE)

Data for a relaxed structure of ZnRu2Au.

Cell lengths 3.8328, 3.8328, 4.0864 Å; angles 90.00, 90.00, 90.00 degrees
Last column: nearest neighbours and their distance in Å.
Space group P4/mmm (No. 123)
Asymmetric unit:
Zn1 0.0000 0.0000 0.0000 [1 per cell]  4 Au 2.71, 8 Ru 2.80
Ru1 0.0000 0.5000 0.5000 [2 per cell]  4 Ru 2.71, 4 Zn 2.80, 4 Au 2.80
Au1 0.5000 0.5000 0.0000 [1 per cell]  4 Zn 2.71, 8 Ru 2.80

Output
Calculated volume in A^3/atom: 15.008
Spin magnetization in Bohr magnetons per cell: 1.2
ΔH_f (0 K) in eV/atom: 0.31

5.
## Li2NbOs (GGA-PBE)

Data for a relaxed structure of Li2NbOs.

Cell lengths 5.9765, 5.9765, 5.9765 Å; angles 90.00, 90.00, 90.00 degrees
Last column: nearest neighbours and their distance in Å.
Space group Fm-3m (No. 225)
Asymmetric unit:
Li1 0.2500 0.2500 0.2500 [8 per cell]  4 Nb 2.59, 4 Os 2.59
Nb1 0.0000 0.0000 0.0000 [4 per cell]  8 Li 2.59
Os1 0.0000 0.0000 0.5000 [4 per cell]  8 Li 2.59

Output
Calculated volume in A^3/atom: 13.342
Spin magnetization in Bohr magnetons per cell: 0.0
Energy above the most stable polymorph in this dataset in eV/atom: 0.1714
ΔH_f (0 K) in eV/atom: 0.55

6.
## MgRe2P (GGA-PBE)

Data for a relaxed structure of MgRe2P.

Cell lengths 2.9552, 3.7452, 5.5557 Å; angles 90.00, 102.29, 90.00 degrees
Last column: nearest neighbours and their distance in Å.
Space group P2/m (No. 10)
Asymmetric unit:
Mg1 0.0000 0.0000 0.0000 [1 per cell]  8 Re 2.77-2.89, 2 P 2.78, 2 Mg 2.96
Re1 0.3515 0.5000 0.7205 [2 per cell]  2 P 2.35
P1 0.0000 0.0000 0.5000 [1 per cell]  4 Re 2.35

Output
Calculated volume in A^3/atom: 15.020
Spin magnetization in Bohr magnetons per cell: 0.0
Energy above the most stable polymorph in this dataset in eV/atom: 0.2582
ΔH_f (0 K) in eV/atom: 0.24